P | The following is a PBE calculation of crystalline CaLa3Os at its relaxed geometry, from the Alexandria database.

Cell: 6.6661 8.5214 6.6706 Å, 90.00 105.48 90.00°
Space group P2_1/m (No. 11)
Asymmetric unit:
Ca1 0.2356 0.2500 0.2636
La1 0.2315 0.7500 0.2678
La2 0.2712 0.0000 0.7704
Os1 0.4850 0.7500 0.0149

=====

Q | The following is a PBE calculation of crystalline CaLa3Os at its relaxed geometry, from the Alexandria database.

Cell: 5.4097 5.4097 5.4097 Å, 90.00 90.00 90.00°
Space group Pm-3m (No. 221)
Asymmetric unit:
Ca1 0.0000 0.0000 0.0000
La1 0.0000 0.0000 0.5000
Os1 0.5000 0.5000 0.5000

=====

Quick look at relative energies in meV per atom: P 0; Q 1781.